# Rb2SrGeF6

An optimized crystal structure of Rb2SrGeF6 (PBE, the Alexandria database).

The structure in POSCAR format:
```
Rb2SrGeF6
1.0
6.555 0.000 0.000
0.000 6.555 0.000
3.278 3.278 4.636
Rb Sr F Ge
2 1 6 1
Cartesian
6.555 3.278 2.318
3.278 6.555 2.318
0.000 0.000 0.000
1.690 4.865 0.000
1.690 1.690 0.000
4.865 1.690 0.000
3.278 3.278 2.245
6.555 6.555 2.391
4.865 4.865 0.000
3.278 3.278 0.000
```

Properties
VASP energy   -4.814 eV/atom
Formation energy (no corrections)   -2.87 eV/atom
D(E_F)   0.00 states/eV/cell
Total magnetization   0.00 μB/f.u.
Crystal system   cubic